Arrangement P

Material: KMgNb
Method: DFT, PBE
State: optimized geometry

Lattice parameters (Å, degrees): 3.2589 6.4694 9.3471 106.20 90.00 104.55
Space group P1 (No. 1)
Inequivalent atoms, fractional coordinates:
K: 0.0000 0.0000 0.0000 x1
K: 0.3103 0.6204 0.2518 x1
Mg: 0.6235 0.2326 0.4405 x1
Mg: 0.9987 0.9831 0.6232 x1
Nb: 0.2985 0.5830 0.6583 x1
Nb: 0.7040 0.3962 0.7945 x1

Properties
Spin magnetization = 0.00 μB per formula unit

Arrangement Q

Material: KMgNb
Method: DFT, PBE
State: optimized geometry

Lattice parameters (Å, degrees): 9.5848 6.5994 6.1586 90.00 90.00 90.00
Space group Pnma (No. 62)
Inequivalent atoms, fractional coordinates:
K: 0.1258 0.2500 0.0009 x4
Mg: 0.0000 0.0000 0.5000 x4
Nb: 0.2355 0.7500 0.0013 x4

Properties
Spin magnetization = 4.04 μB per formula unit

Arrangement R

Material: KMgNb
Method: DFT, PBE
State: optimized geometry

Lattice parameters (Å, degrees): 4.8594 6.1469 7.4064 65.86 87.68 84.76
Space group P1 (No. 1)
Inequivalent atoms, fractional coordinates:
K: 0.0000 0.0000 0.0000 x1
K: 0.4979 0.5263 0.0047 x1
Mg: 0.5120 0.3526 0.5504 x1
Mg: 0.9838 0.6212 0.5455 x1
Nb: 0.0462 0.1232 0.4618 x1
Nb: 0.4504 0.9364 0.4623 x1

Properties
Spin magnetization = 0.00 μB per formula unit

Arrangement S

Material: KMgNb
Method: DFT, PBE
State: optimized geometry

Lattice parameters (Å, degrees): 6.0172 6.0172 11.4716 90.00 90.00 120.00
Space group P6_3/mmc (No. 194)
Inequivalent atoms, fractional coordinates:
K: 0.3333 0.6667 0.2500 x2
Mg: 0.0000 0.0000 0.2500 x2
Nb: 0.0000 0.0000 0.0000 x2

Properties
Spin magnetization = 5.15 μB per formula unit

Ranked by calculated energy, most stable first: arrangement P, arrangement R, arrangement Q, arrangement S.